Record 1
The following is a DFT calculation (GGA-PBE) of KZrH2W after structural relaxation.

Geometry as CIF:
```
data_KZrH2W
_symmetry_space_group_name_H-M 'P 4/m m m'
_symmetry_Int_Tables_number 123
_symmetry_space_group_name_Hall '-P 4 2'
_cell_length_a 3.8510
_cell_length_b 3.8510
_cell_length_c 5.2292
_cell_angle_alpha 90.00
_cell_angle_beta 90.00
_cell_angle_gamma 90.00
loop_
_atom_site_label
_atom_site_fract_x
_atom_site_fract_y
_atom_site_fract_z
K1 0.0000 0.0000 0.0000
Zr1 0.5000 0.5000 0.0000
H1 0.0000 0.5000 0.5000
W1 0.0000 0.0000 0.5000
```

***

Record 2
# Li3Se5S12 GGA-PBE relaxed
data_Li3Se5S12
_symmetry_space_group_name_H-M 'I a -3 d'
_symmetry_Int_Tables_number 230
_symmetry_space_group_name_Hall '-I 4bd 2c 3'
_cell_length_a 15.3346
_cell_length_b 15.3346
_cell_length_c 15.3346
_cell_angle_alpha 90.00
_cell_angle_beta 90.00
_cell_angle_gamma 90.00
loop_
_atom_site_label
_atom_site_fract_x
_atom_site_fract_y
_atom_site_fract_z
Li1 0.0000 0.2500 0.1250
Se1 0.0000 0.0000 0.0000
Se2 0.0000 0.2500 0.3750
S1 0.0185 0.0578 0.6515
# raw formation energy: 0.107 eV/atom

***

Record 3
# BaLiLaCd GGA-PBE relaxed
data_BaLiLaCd
_symmetry_space_group_name_H-M 'F -4 3 m'
_symmetry_Int_Tables_number 216
_symmetry_space_group_name_Hall 'F -4 2 3'
_cell_length_a 8.1889
_cell_length_b 8.1889
_cell_length_c 8.1889
_cell_angle_alpha 90.00
_cell_angle_beta 90.00
_cell_angle_gamma 90.00
loop_
_atom_site_label
_atom_site_fract_x
_atom_site_fract_y
_atom_site_fract_z
Ba1 0.0000 0.0000 0.0000
Li1 0.2500 0.2500 0.7500
La1 0.0000 0.0000 0.5000
Cd1 0.2500 0.2500 0.2500
# formation energy: -22 kJ/mol of formula units

***

Record 4
# PtRh2Cl GGA-PBE relaxed
data_PtRh2Cl
_symmetry_space_group_name_H-M 'F -4 3 m'
_symmetry_Int_Tables_number 216
_symmetry_space_group_name_Hall 'F -4 2 3'
_cell_length_a 6.2870
_cell_length_b 6.2870
_cell_length_c 6.2870
_cell_angle_alpha 90.00
_cell_angle_beta 90.00
_cell_angle_gamma 90.00
loop_
_atom_site_label
_atom_site_fract_x
_atom_site_fract_y
_atom_site_fract_z
Pt1 0.0000 0.0000 0.0000
Rh1 0.0000 0.0000 0.5000
Rh2 0.2500 0.2500 0.7500
Cl1 0.2500 0.2500 0.2500
# raw formation energy: 0.678 eV/atom
# ΔE to the lowest computed polymorph: 0.470 eV per atom

***

Record 5
# LiYOF2 GGA-PBE relaxed
data_LiYOF2
_symmetry_space_group_name_H-M 'P 4/m m m'
_symmetry_Int_Tables_number 123
_symmetry_space_group_name_Hall '-P 4 2'
_cell_length_a 3.5337
_cell_length_b 3.5337
_cell_length_c 4.0824
_cell_angle_alpha 90.00
_cell_angle_beta 90.00
_cell_angle_gamma 90.00
loop_
_atom_site_label
_atom_site_fract_x
_atom_site_fract_y
_atom_site_fract_z
Li1 0.0000 0.0000 0.0000
Y1 0.5000 0.5000 0.5000
O1 0.0000 0.0000 0.5000
F1 0.0000 0.5000 0.0000
# raw formation energy: -3.089 eV/atom
# ΔE to the lowest computed polymorph: 0.000 eV per atom

***

Record 6
# Be2CoCu GGA-PBE relaxed
data_Be2CoCu
_symmetry_space_group_name_H-M 'C 1 2/m 1'
_symmetry_Int_Tables_number 12
_cell_length_a 7.4158
_cell_length_b 2.4155
_cell_length_c 4.4052
_cell_angle_alpha 90.00
_cell_angle_beta 98.94
_cell_angle_gamma 90.00
loop_
_symmetry_equiv_pos_as_xyz
'x,y,z'
'-x,-y,-z'
'-x,y,-z'
'x,-y,z'
'x+1/2,y+1/2,z'
'-x+1/2,-y+1/2,-z'
'-x+1/2,y+1/2,-z'
'x+1/2,-y+1/2,z'
loop_
_atom_site_label
_atom_site_fract_x
_atom_site_fract_y
_atom_site_fract_z
Be1 0.2474 0.0000 0.2301
Co1 0.0000 0.5000 0.0000
Cu1 0.0000 0.0000 0.5000
# formation energy: -7 kJ/mol of formula units

***

Record 7
# CdCu2W GGA-PBE relaxed
data_CdCu2W
_symmetry_space_group_name_H-M 'P 4/m m m'
_symmetry_Int_Tables_number 123
_symmetry_space_group_name_Hall '-P 4 2'
_cell_length_a 4.7049
_cell_length_b 4.7049
_cell_length_c 2.7191
_cell_angle_alpha 90.00
_cell_angle_beta 90.00
_cell_angle_gamma 90.00
loop_
_atom_site_label
_atom_site_fract_x
_atom_site_fract_y
_atom_site_fract_z
Cd1 0.0000 0.0000 0.0000
Cu1 0.0000 0.5000 0.5000
W1 0.5000 0.5000 0.0000
# formation energy: 174 kJ/mol of formula units

***

| no. | final energy (eV per atom) | ρ (g cm⁻³) |
| --- | --- | --- |
| 1 | -3.945 | 6.77 |
| 2 | -3.528 | 2.95 |
| 3 | -2.477 | 4.78 |
| 4 | -4.969 | 11.66 |
| 5 | -6.505 | 4.88 |
| 6 | -4.681 | 5.99 |
| 7 | -5.065 | 11.68 |